# 1
# GGA-PBEsol MgIrRh2, optimized geometry
data_MgIrRh2
_cell_length_a 2.724
_cell_length_b 4.663
_cell_length_c 4.663
_cell_angle_alpha 108.50
_cell_angle_beta 90.00
_cell_angle_gamma 90.00
_symmetry_space_group_name_H-M 'P 1'
_symmetry_Int_Tables_number 1
loop_
_symmetry_equiv_pos_as_xyz
'x,y,z'
loop_
_atom_site_label
_atom_site_fract_x
_atom_site_fract_y
_atom_site_fract_z
Rh1 0.000 0.500 0.000
Rh2 0.000 0.000 0.500
Mg1 0.500 0.500 0.500
Ir1 0.500 0.000 0.000
# - Total DFT energy (no corrections): -28.7 eV for the cell shown

# 2
# GGA-PBEsol Li2TePb, optimized geometry
data_Li2TePb
_cell_length_a 4.118
_cell_length_b 4.118
_cell_length_c 6.064
_cell_angle_alpha 109.85
_cell_angle_beta 109.85
_cell_angle_gamma 90.00
_symmetry_space_group_name_H-M 'P 1'
_symmetry_Int_Tables_number 1
loop_
_symmetry_equiv_pos_as_xyz
'x,y,z'
loop_
_atom_site_label
_atom_site_fract_x
_atom_site_fract_y
_atom_site_fract_z
Pb1 0.500 0.500 0.000
Li1 0.750 0.250 0.500
Li2 0.000 0.000 0.000
Te1 0.250 0.750 0.500
# - Uncorrected formation energy: -459 meV per atom
# - Total DFT energy (no corrections): -13.3 eV for the cell shown